No. 1
This record from the Alexandria database describes crystalline KSbAs3 at its relaxed geometry. The functional is PBEsol.

```
5
Lattice="5.208 0.000 0.000 0.000 5.208 0.000 0.000 0.000 5.208" Properties=species:S:1:pos:R:3 pbc="T T T"
Sb 2.604 2.604 2.604
As 0.000 0.000 2.604
As 0.000 2.604 0.000
As 2.604 0.000 0.000
K 0.000 0.000 0.000
```

Properties
* E: -2.628 eV per atom
* V: 141 Å³/cell
* formation energy without anion corrections: 1.574 eV per atom
* spin magnetization: 0.000 μB per atom

No. 2
This record from the Alexandria database describes crystalline Y3AlFeS7 at its relaxed geometry. The functional is PBEsol.

```
24
Lattice="-4.966 -3.474 -0.871 3.026 -2.187 -8.527 2.408 -5.268 7.287" Properties=species:S:1:pos:R:3 pbc="T T T"
Al 2.078 -3.733 -3.386
S -0.889 -4.852 2.929
Y 1.546 -5.631 4.102
S -0.663 -2.228 -1.260
Fe -2.831 -1.981 -0.497
S -1.554 -7.878 4.841
S 1.293 -3.563 -7.080
Y -1.944 -4.435 -2.293
S 0.122 -5.465 -0.386
S -3.178 -5.051 -4.744
Al -0.611 -6.497 1.450
S 1.170 -7.612 2.199
Y -0.797 -5.103 -6.164
Y 0.449 -7.629 -3.196
S -2.130 -7.198 -2.159
S -3.273 -4.217 0.033
Fe -0.348 -0.244 -0.061
S 0.401 -9.213 -0.979
S 0.279 -4.992 -3.701
S 3.011 -7.224 -2.272
Y 0.299 -3.105 1.134
S 2.556 -4.282 2.006
S -1.119 -7.811 -5.475
Y 2.692 -6.299 0.231
```

Properties
* E: -6.980 eV per atom
* V: 459 Å³/cell
* formation energy without anion corrections: -1.629 eV per atom
* spin magnetization: 0.000 μB per atom

No. 3
This record from the Alexandria database describes crystalline ReMo at its relaxed geometry. The functional is PBEsol.

```
4
Lattice="2.705 0.000 0.000 0.000 4.242 0.000 -1.352 0.000 5.247" Properties=species:S:1:pos:R:3 pbc="T T T"
Re 1.352 1.060 3.358
Mo 1.352 1.060 0.722
Re 0.000 3.181 1.890
Mo 0.000 3.181 4.525
```

Properties
* E: -12.236 eV per atom
* V: 60 Å³/cell
* formation energy from the elements: 30.3 kJ/mol of atoms
* spin magnetization: 0.000 μB per atom
* distance to the lowest polymorph of the same formula: 20.5 kJ/mol of atoms

No. 4
This record from the Alexandria database describes crystalline In2FeIr at its relaxed geometry. The functional is PBEsol.

```
4
Lattice="-2.254 -1.621 -1.125 2.211 -2.524 3.193 -3.341 2.583 2.972" Properties=species:S:1:pos:R:3 pbc="T T T"
In -3.095 -0.538 2.987
In -0.289 -1.023 2.053
Ir -1.670 1.291 1.486
Fe -1.127 -0.810 -0.563
```

Properties
* E: -5.949 eV per atom
* V: 67 Å³/cell
* formation energy from the elements: 23.0 kJ/mol of atoms
* spin magnetization: 0.669 μB per atom

No. 5
This record from the Alexandria database describes crystalline ZrTa2Cl at its relaxed geometry. The functional is PBEsol.

```
4
Lattice="-0.629 -0.372 -3.101 -4.257 -0.500 0.923 -0.707 5.146 -0.473" Properties=species:S:1:pos:R:3 pbc="T T T"
Cl -2.482 2.323 0.225
Ta 0.000 0.000 0.000
Zr -0.668 2.387 -1.787
Ta -2.443 -0.436 -1.089
```

Properties
* E: -8.795 eV per atom
* V: 73 Å³/cell
* formation energy without anion corrections: 0.255 eV per atom
* spin magnetization: 0.000 μB per atom
* distance to the lowest polymorph of the same formula: 36.9 kJ/mol of atoms

No. 6
This record from the Alexandria database describes crystalline AlPbW2 at its relaxed geometry. The functional is PBEsol.

```
4
Lattice="-1.484 -1.573 2.406 -2.638 -2.182 -3.053 3.107 -3.362 -0.282" Properties=species:S:1:pos:R:3 pbc="T T T"
Pb -0.742 -0.786 1.203
Al -0.507 -3.558 -0.465
W -1.319 -1.091 -1.527
W 1.554 -1.681 -0.141
```

Properties
* E: -8.011 eV per atom
* V: 68 Å³/cell
* formation energy from the elements: 88.3 kJ/mol of atoms
* spin magnetization: 0.000 μB per atom
* distance to the lowest polymorph of the same formula: 31.3 kJ/mol of atoms

No. 7
This record from the Alexandria database describes crystalline ReSbAs2 at its relaxed geometry. The functional is PBEsol.

```
4
Lattice="-1.233 -2.914 1.826 3.182 -1.912 -2.656 3.202 0.723 3.315" Properties=species:S:1:pos:R:3 pbc="T T T"
Re 3.192 -0.595 0.330
As 0.741 -1.214 -0.451
Sb 0.985 -1.096 2.571
As 1.209 -3.613 -0.380
```

Properties
* E: -6.606 eV per atom
* V: 76 Å³/cell
* formation energy without anion corrections: 0.420 eV per atom
* spin magnetization: 0.000 μB per atom

No. 8
This record from the Alexandria database describes crystalline MgCrW2 at its relaxed geometry. The functional is PBEsol.

```
4
Lattice="2.599 0.000 0.000 -1.299 4.565 0.036 0.000 -0.285 5.106" Properties=species:S:1:pos:R:3 pbc="T T T"
Cr 1.299 0.000 0.000
Mg 0.000 -0.143 2.553
W 1.299 2.053 3.870
W 0.000 2.227 1.272
```

Properties
* E: -9.295 eV per atom
* V: 61 Å³/cell
* formation energy from the elements: 57.8 kJ/mol of atoms
* spin magnetization: 0.000 μB per atom
* distance to the lowest polymorph of the same formula: 6.4 kJ/mol of atoms

No. 9
This record from the Alexandria database describes crystalline Cs2MgO2 at its relaxed geometry. The functional is PBEsol.

```
40
Lattice="6.645 0.000 0.000 0.000 9.935 0.115 0.000 -2.304 14.349" Properties=species:S:1:pos:R:3 pbc="T T T"
Cs 0.849 5.616 12.042
Cs 0.592 5.148 3.844
O 5.128 6.280 6.873
O 2.727 6.581 5.250
Cs 5.796 2.014 2.423
Mg 4.184 5.323 5.468
Cs 6.053 2.482 10.621
Cs 3.914 8.602 3.504
O 0.596 0.461 12.367
Cs 3.816 5.144 1.835
O 1.805 7.470 0.474
Cs 1.079 5.540 7.678
O 1.269 0.042 2.768
Mg 0.861 8.428 1.879
Mg 2.461 2.308 8.996
Mg 5.783 -0.797 12.585
Cs 2.829 2.487 12.629
Mg 6.302 1.518 13.818
O 2.549 8.027 8.309
O 1.517 1.350 7.591
Cs 2.243 1.725 0.446
O 2.054 3.857 10.000
O 4.839 0.160 13.990
O 3.918 1.050 9.214
O 4.591 3.773 4.464
Mg 0.343 6.113 0.646
O 0.773 4.211 1.077
O 5.376 7.589 11.696
Cs 4.402 5.906 14.019
O 4.095 -0.396 6.155
Mg 2.979 -0.007 7.763
Cs 5.565 2.091 6.787
Mg 3.666 7.638 6.701
Cs 4.171 5.830 9.655
Cs 2.731 -0.971 10.961
O 6.049 7.170 2.097
Cs 0.493 8.607 5.512
Cs 6.152 -0.976 8.952
O 5.872 3.420 13.388
Cs 2.473 1.801 4.809
```

Properties
* E: -4.461 eV per atom
* V: 949 Å³/cell
* formation energy without anion corrections: -1.641 eV per atom
* spin magnetization: 0.001 μB per atom

No. 10
This record from the Alexandria database describes crystalline LaCoBr2 at its relaxed geometry. The functional is PBEsol.

```
4
Lattice="4.621 0.000 0.000 0.000 4.621 0.000 -2.311 -2.311 4.217" Properties=species:S:1:pos:R:3 pbc="T T T"
Br 2.311 0.000 2.108
Co 2.311 2.311 0.000
Br 0.000 2.311 2.108
La 0.000 0.000 0.000
```

Properties
* E: -4.653 eV per atom
* V: 90 Å³/cell
* formation energy without anion corrections: -0.447 eV per atom
* spin magnetization: 0.494 μB per atom
* distance to the lowest polymorph of the same formula: 42.2 kJ/mol of atoms

No. 11
This record from the Alexandria database describes crystalline Li2PtBr at its relaxed geometry. The functional is PBEsol.

```
4
Lattice="-3.479 -0.218 -1.082 -0.036 -3.554 0.829 0.332 2.921 4.499" Properties=species:S:1:pos:R:3 pbc="T T T"
Br -0.730 -1.260 2.601
Li 0.000 0.000 0.000
Li -2.452 0.408 1.645
Pt -1.757 -1.886 -0.126
```

Properties
* E: -3.578 eV per atom
* V: 63 Å³/cell
* formation energy without anion corrections: -0.386 eV per atom
* spin magnetization: 0.000 μB per atom
* distance to the lowest polymorph of the same formula: 1.4 kJ/mol of atoms

No. 12
This record from the Alexandria database describes crystalline BiPtPb3 at its relaxed geometry. The functional is PBEsol.

```
20
Lattice="4.101 0.000 0.000 0.000 11.367 0.000 0.000 0.000 11.367" Properties=species:S:1:pos:R:3 pbc="T T T"
Pb 2.050 4.495 6.872
Pb 2.050 11.328 3.759
Bi 0.000 9.027 2.340
Bi 0.000 2.340 9.027
Bi 2.050 3.343 3.343
Pb 2.050 6.872 4.495
Pb 2.050 0.040 7.608
Pt 0.000 4.704 4.704
Pt 2.050 0.979 10.388
Pt 2.050 10.388 0.979
Bi 2.050 8.024 8.024
Pt 0.000 6.663 6.663
Pb 0.000 10.179 10.179
Pb 2.050 7.608 0.040
Pb 0.000 5.644 1.924
Pb 0.000 9.443 5.723
Pb 0.000 1.924 5.644
Pb 2.050 3.759 11.328
Pb 0.000 5.723 9.443
Pb 0.000 1.188 1.188
```

Properties
* E: -4.791 eV per atom
* V: 530 Å³/cell
* formation energy from the elements: -13.7 kJ/mol of atoms
* spin magnetization: 0.000 μB per atom

No. 13
This record from the Alexandria database describes crystalline IrOsBr2 at its relaxed geometry. The functional is PBEsol.

```
4
Lattice="4.579 0.000 0.000 2.289 3.965 0.000 2.289 1.322 3.739" Properties=species:S:1:pos:R:3 pbc="T T T"
Ir 4.579 2.644 1.869
Br 6.868 3.965 2.804
Br 0.000 0.000 0.000
Os 2.289 1.322 0.935
```

Properties
* E: -4.947 eV per atom
* V: 68 Å³/cell
* formation energy without anion corrections: 1.498 eV per atom
* spin magnetization: 0.166 μB per atom
* distance to the lowest polymorph of the same formula: 84.1 kJ/mol of atoms

No. 14
This record from the Alexandria database describes crystalline TiRh3 at its relaxed geometry. The functional is PBEsol.

```
4
Lattice="3.796 0.000 0.000 0.000 3.796 0.000 0.000 0.000 3.796" Properties=species:S:1:pos:R:3 pbc="T T T"
Rh 0.000 1.898 1.898
Rh 1.898 0.000 1.898
Ti 0.000 0.000 0.000
Rh 1.898 1.898 0.000
```

Properties
* E: -8.815 eV per atom
* V: 55 Å³/cell
* formation energy from the elements: -60.9 kJ/mol of atoms
* spin magnetization: 0.000 μB per atom

No. 15
This record from the Alexandria database describes crystalline BiNCl3 at its relaxed geometry. The functional is PBEsol.

```
5
Lattice="4.478 0.000 0.000 0.000 4.478 0.000 0.000 0.000 4.478" Properties=species:S:1:pos:R:3 pbc="T T T"
Bi 2.239 2.239 2.239
N 0.000 0.000 0.000
Cl 0.000 2.239 0.000
Cl 0.000 0.000 2.239
Cl 2.239 0.000 0.000
```

Properties
* E: -3.144 eV per atom
* V: 90 Å³/cell
* formation energy without anion corrections: 0.623 eV per atom
* spin magnetization: 0.067 μB per atom

No. 16
This record from the Alexandria database describes crystalline Zr2CuHg at its relaxed geometry. The functional is PBEsol.

```
4
Lattice="-0.613 -2.232 2.231 0.758 -2.890 -2.682 5.578 0.020 1.554" Properties=species:S:1:pos:R:3 pbc="T T T"
Zr 4.250 0.015 1.184
Zr 0.714 -2.227 2.601
Cu 0.072 -2.561 -0.225
Hg 2.861 -2.550 0.552
```

Properties
* E: -5.922 eV per atom
* V: 75 Å³/cell
* formation energy from the elements: -14.6 kJ/mol of atoms
* spin magnetization: 0.000 μB per atom

No. 17
This record from the Alexandria database describes crystalline LiZnCu2 at its relaxed geometry. The functional is PBEsol.

```
4
Lattice="2.932 0.000 0.000 0.000 4.046 0.000 0.000 0.000 4.046" Properties=species:S:1:pos:R:3 pbc="T T T"
Cu 0.000 2.023 0.000
Cu 0.000 0.000 2.023
Li 1.466 2.023 2.023
Zn 1.466 0.000 0.000
```

Properties
* E: -3.120 eV per atom
* V: 48 Å³/cell
* formation energy from the elements: -6.4 kJ/mol of atoms
* spin magnetization: 0.000 μB per atom

No. 18
This record from the Alexandria database describes crystalline Cr2InRe at its relaxed geometry. The functional is PBEsol.

```
4
Lattice="-1.550 2.153 0.758 -2.696 -1.045 -2.542 -2.007 -3.647 3.628" Properties=species:S:1:pos:R:3 pbc="T T T"
Re -3.859 -2.188 2.076
Cr -0.053 0.051 0.036
Cr -2.379 -0.406 -0.225
In -2.514 0.335 2.529
```

Properties
* E: -8.795 eV per atom
* V: 58 Å³/cell
* formation energy from the elements: 39.1 kJ/mol of atoms
* spin magnetization: 0.000 μB per atom

No. 19
This record from the Alexandria database describes crystalline PrInPd at its relaxed geometry. The functional is PBEsol.

```
9
Lattice="-3.553 1.808 -0.062 -2.396 -4.511 5.746 3.393 6.723 1.550" Properties=species:S:1:pos:R:3 pbc="T T T"
Pr -3.185 -1.749 3.347
Pd 1.463 2.978 2.948
In -0.604 -1.137 1.448
In 0.855 1.694 0.390
Pr 0.218 4.857 0.880
In 0.746 1.654 5.458
Pr -1.366 1.815 2.975
Pd -1.777 0.904 -0.031
Pd -0.466 -0.767 4.347
```

Properties
* E: -5.500 eV per atom
* V: 204 Å³/cell
* formation energy from the elements: -76.4 kJ/mol of atoms
* spin magnetization: 0.000 μB per atom

No. 20
This record from the Alexandria database describes crystalline KTePbI2 at its relaxed geometry. The functional is PBEsol.

```
5
Lattice="6.130 0.000 0.000 0.000 6.130 0.000 0.000 0.000 6.259" Properties=species:S:1:pos:R:3 pbc="T T T"
K 0.000 0.000 3.129
I 0.000 3.065 0.000
I 3.065 0.000 0.000
Pb 3.065 3.065 3.129
Te 0.000 0.000 0.000
```

Properties
* E: -2.366 eV per atom
* V: 235 Å³/cell
* formation energy without anion corrections: 0.072 eV per atom
* spin magnetization: 0.340 μB per atom